Record 1
# CoRuC2Br | Alexandria | GGA-PBE | relaxed
# * calculated volume: 68 Å³/cell
# * raw formation energy: 1517.5 kJ/mol of formula units
data_CoRuC2Br
_cell_length_a 4.001
_cell_length_b 4.001
_cell_length_c 4.254
_cell_angle_alpha 90.00
_cell_angle_beta 90.00
_cell_angle_gamma 90.00
_symmetry_space_group_name_H-M 'P 4/m m m'
_symmetry_Int_Tables_number 123
_symmetry_space_group_name_Hall '-P 4 2'
loop_
_atom_site_label
_atom_site_fract_x
_atom_site_fract_y
_atom_site_fract_z
_atom_site_occupancy
Co1 0.000 0.000 0.000 1
Ru1 0.500 0.500 0.000 1
C1 0.000 0.500 0.500 1
Br1 0.000 0.000 0.500 1

=====

Record 2
# PmMgGaGe | Alexandria | GGA-PBE | relaxed
# * calculated volume: 355 Å³/cell
# * E_form: -359 meV/atom
data_PmMgGaGe
_cell_length_a 7.081
_cell_length_b 7.081
_cell_length_c 7.081
_cell_angle_alpha 90.00
_cell_angle_beta 90.00
_cell_angle_gamma 90.00
_symmetry_space_group_name_H-M 'F -4 3 m'
_symmetry_Int_Tables_number 216
_symmetry_space_group_name_Hall 'F -4 2 3'
loop_
_atom_site_label
_atom_site_fract_x
_atom_site_fract_y
_atom_site_fract_z
_atom_site_occupancy
Pm1 0.000 0.000 0.000 1
Mg1 0.000 0.000 0.500 1
Ga1 0.250 0.250 0.750 1
Ge1 0.250 0.250 0.250 1